Record 1
Material: MgZr2Mo
Method: DFT, GGA-PBE
State: relaxed

Unit cell a=6.8213 b=6.8213 c=6.8213 alpha=90.00 beta=90.00 gamma=90.00
Closest atoms and distances in Å follow each position.
Space group F-43m (No. 216)
One atom of each set of equivalent atoms:
Mg (0.0000, 0.0000, 0.0000) (multiplicity 4)  4 Zr 2.95, 4 Mo 2.95
Zr (0.0000, 0.0000, 0.5000) (multiplicity 4)  4 Mo 2.95, 4 Zr 2.95
Zr (0.2500, 0.2500, 0.2500) (multiplicity 4)  4 Zr 2.95, 4 Mg 2.95
Mo (0.2500, 0.2500, 0.7500) (multiplicity 4)  4 Zr 2.95, 4 Mg 2.95

Computed properties:
* ΔE_f: 0.260 eV/atom
* polymorph energy (0 for the lowest one): 0.282 eV per atom
* DOS(E_F): 21.843 states/eV/cell

***

Record 2
Material: DyMgSb2
Method: DFT, GGA-PBE
State: relaxed

Unit cell a=4.3855 b=4.3855 c=10.7834 alpha=90.00 beta=90.00 gamma=90.00
Closest atoms and distances in Å follow each position.
Space group P4/nmm (No. 129, origin choice 2)
One atom of each set of equivalent atoms:
Dy (0.2500, 0.2500, 0.2164) (multiplicity 2)  8 Sb 3.20-3.29
Mg (0.2500, 0.7500, 0.5000) (multiplicity 2)  4 Sb 2.95, 4 Mg 3.10
Sb (0.2500, 0.2500, 0.6829) (multiplicity 2)  4 Mg 2.95, 4 Dy 3.29
Sb (0.2500, 0.7500, 0.0000) (multiplicity 2)  4 Sb 3.10, 4 Dy 3.20

Computed properties:
* uncorrected formation energy: -641 meV per atom
* polymorph energy (0 for the lowest one): 0.000 eV per atom
* DOS(E_F): 3.270 states/eV/cell

***

Record 3
Material: Ba5Au
Method: DFT, GGA-PBE
State: relaxed

Unit cell a=4.6139 b=19.8466 c=6.7990 alpha=90.00 beta=90.00 gamma=90.00
Closest atoms and distances in Å follow each position.
Space group Cmmm (No. 65)
One atom of each set of equivalent atoms:
Ba (0.0000, 0.0000, 0.0000) (multiplicity 2)  8 Ba 4.09-4.18, 4 Au 4.11
Ba (0.0000, 0.1225, 0.5000) (multiplicity 4)  2 Au 3.35
Ba (0.0000, 0.3300, 0.0000) (multiplicity 4)  8 Ba 3.93-4.21
Au (0.0000, 0.5000, 0.5000) (multiplicity 2)  4 Ba 3.35

Computed properties:
* ΔE_f: -0.119 eV/atom
* polymorph energy (0 for the lowest one): 0.100 eV per atom
* DOS(E_F): 12.267 states/eV/cell

***

Record 4
Material: La3Nd2Tm7
Method: DFT, GGA-PBE
State: relaxed

Unit cell a=6.3579 b=3.5494 c=17.6214 alpha=90.00 beta=96.52 gamma=90.00
Closest atoms and distances in Å follow each position.
Space group P2/m (No. 10)
One atom of each set of equivalent atoms:
La (0.0000, 0.0000, 0.0000) (multiplicity 1)  10 Tm 3.54-3.64, 2 La 3.55
La (0.0441, 0.5000, 0.6601) (multiplicity 2)  2 La 3.55, 7 Tm 3.63-3.73, 4 Nd 3.64-3.67
Nd (0.4485, 0.0000, 0.3249) (multiplicity 2)  5 Tm 3.45-3.51, 2 Nd 3.55, 4 La 3.64-3.67
Tm (0.2288, 0.5000, 0.1634) (multiplicity 2)  2 Nd 3.51, 7 Tm 3.52-3.67, 3 La 3.55-3.73
Tm (0.2466, 0.0000, 0.4983) (multiplicity 2)  2 Tm 3.14-3.22, 2 Nd 3.45-3.48
Tm (0.2766, 0.0000, 0.8364) (multiplicity 2)  1 Nd 3.50, 8 Tm 3.54-3.67, 3 La 3.54-3.73
Tm (0.5000, 0.5000, 0.0000) (multiplicity 1)  8 Tm 3.52-3.55, 4 La 3.64

Computed properties:
* ΔE_f: 0.097 eV/atom
* DOS(E_F): 17.668 states/eV/cell

***

Record 5
Material: Ir2RhBr
Method: DFT, GGA-PBE
State: relaxed

Unit cell a=2.8788 b=2.8788 c=26.4631 alpha=90.00 beta=90.00 gamma=120.00
Closest atoms and distances in Å follow each position.
Space group R-3m (No. 166, hexagonal axes)
One atom of each set of equivalent atoms:
Ir (0.0000, 0.0000, 0.2467) (multiplicity 6)  3 Rh 2.69, 3 Br 2.83, 6 Ir 2.88
Rh (0.0000, 0.0000, 0.5000) (multiplicity 3)  6 Ir 2.69, 6 Rh 2.88
Br (0.0000, 0.0000, 0.0000) (multiplicity 3)  6 Ir 2.83, 6 Br 2.88

Computed properties:
* uncorrected formation energy: 686 meV per atom
* polymorph energy (0 for the lowest one): 0.223 eV per atom
* DOS(E_F): 14.799 states/eV/cell

***

Record 6
Material: TeIrS2
Method: DFT, GGA-PBE
State: relaxed

Unit cell a=6.6026 b=6.6026 c=7.9873 alpha=90.00 beta=90.00 gamma=90.00
Closest atoms and distances in Å follow each position.
Space group I-42d (No. 122)
One atom of each set of equivalent atoms:
Te (0.0000, 0.0000, 0.0000) (multiplicity 4)  4 S 2.85
Ir (0.0000, 0.0000, 0.5000) (multiplicity 4)  4 S 2.28
S (0.1828, 0.7500, 0.6250) (multiplicity 8)  2 Ir 2.28

Computed properties:
* uncorrected formation energy: 222 meV per atom
* DOS(E_F): 9.889 states/eV/cell

***

Record 7
Material: DySb2Au2
Method: DFT, GGA-PBE
State: relaxed

Unit cell a=4.4154 b=23.5733 c=4.4224 alpha=90.00 beta=90.00 gamma=90.00
Closest atoms and distances in Å follow each position.
Space group Cmcm (No. 63)
One atom of each set of equivalent atoms:
Dy (0.0000, 0.1467, 0.2500) (multiplicity 4)  8 Sb 3.19-3.29, 4 Au 3.31
Sb (0.0000, 0.2497, 0.7500) (multiplicity 4)  4 Sb 3.12, 4 Dy 3.28-3.29
Sb (0.0000, 0.3796, 0.2500) (multiplicity 4)  4 Au 2.87-2.88, 4 Dy 3.19
Au (0.0000, 0.0425, 0.7500) (multiplicity 4)  2 Sb 2.87, 8 Au 2.97-3.12
Au (0.0000, 0.4580, 0.7500) (multiplicity 4)  2 Sb 2.88, 8 Au 2.97-3.12

Computed properties:
* uncorrected formation energy: -504 meV per atom
* DOS(E_F): 6.338 states/eV/cell

***

Record 8
Material: BaSr2CaCl
Method: DFT, GGA-PBE
State: relaxed

Unit cell a=6.4167 b=6.4167 c=5.6967 alpha=90.00 beta=90.00 gamma=90.00
Closest atoms and distances in Å follow each position.
Space group P4/mmm (No. 123)
One atom of each set of equivalent atoms:
Ba (0.0000, 0.0000, 0.0000) (multiplicity 1)  8 Sr 4.29, 4 Ca 4.54
Sr (0.0000, 0.5000, 0.5000) (multiplicity 2)  2 Cl 3.21
Ca (0.5000, 0.5000, 0.0000) (multiplicity 1)  2 Cl 2.85
Cl (0.5000, 0.5000, 0.5000) (multiplicity 1)  2 Ca 2.85

Computed properties:
* uncorrected formation energy: -564 meV per atom
* polymorph energy (0 for the lowest one): 0.046 eV per atom
* DOS(E_F): 5.656 states/eV/cell

***

Record 9
Material: ZrSc5P4
Method: DFT, GGA-PBE
State: relaxed

Unit cell a=16.0494 b=3.7146 c=7.2872 alpha=90.00 beta=105.39 gamma=90.00
Closest atoms and distances in Å follow each position.
Space group C2/m (No. 12)
One atom of each set of equivalent atoms:
Zr (0.0000, 0.0000, 0.0000) (multiplicity 2)  6 P 2.63-2.65
Sc (0.0000, 0.0000, 0.5000) (multiplicity 2)  4 P 2.57
Sc (0.1640, 0.5000, 0.8441) (multiplicity 4)  4 P 2.56-2.60
Sc (0.1696, 0.5000, 0.3430) (multiplicity 4)  3 P 2.57-2.58
P (0.0034, 0.5000, 0.2583) (multiplicity 4)  4 Sc 2.57-2.59, 2 Zr 2.63
P (0.1712, 0.0000, 0.0983) (multiplicity 4)  5 Sc 2.56-2.60, 1 Zr 2.65

Computed properties:
* ΔE_f: -1.160 eV/atom
* DOS(E_F): 11.350 states/eV/cell

***

Record 10
Material: DyYPd4
Method: DFT, GGA-PBE
State: relaxed

Unit cell a=4.1916 b=19.4171 c=5.7881 alpha=90.00 beta=90.00 gamma=90.00
Closest atoms and distances in Å follow each position.
Space group Cmcm (No. 63)
One atom of each set of equivalent atoms:
Dy (0.0000, 0.0775, 0.2500) (multiplicity 4)  11 Pd 2.90-2.96
Y (0.0000, 0.2246, 0.7500) (multiplicity 4)  7 Pd 2.90-2.93
Pd (0.0000, 0.0736, 0.7500) (multiplicity 4)  8 Pd 2.89-2.92, 3 Dy 2.90-2.94, 1 Y 2.93
Pd (0.0000, 0.3525, 0.0100) (multiplicity 8)  5 Pd 2.78-3.01, 3 Y 2.90-2.93, 2 Dy 2.92
Pd (0.0000, 0.5000, 0.0000) (multiplicity 4)  8 Pd 2.86-2.92, 4 Dy 2.96

Computed properties:
* ΔE_f: -0.892 eV/atom
* polymorph energy (0 for the lowest one): 0.000 eV per atom
* DOS(E_F): 6.118 states/eV/cell

***

Record 11
Material: RbZn3Si
Method: DFT, GGA-PBE
State: relaxed

Unit cell a=5.0678 b=5.0678 c=5.0678 alpha=90.00 beta=90.00 gamma=90.00
Closest atoms and distances in Å follow each position.
Space group Pm-3m (No. 221)
One atom of each set of equivalent atoms:
Rb (0.0000, 0.0000, 0.0000) (multiplicity 1)  12 Zn 3.58
Zn (0.0000, 0.5000, 0.5000) (multiplicity 3)  2 Si 2.53
Si (0.5000, 0.5000, 0.5000) (multiplicity 1)  6 Zn 2.53

Computed properties:
* uncorrected formation energy: 292 meV per atom
* polymorph energy (0 for the lowest one): 0.000 eV per atom
* DOS(E_F): 3.356 states/eV/cell

***

Record 12
Material: NpCo2SiN
Method: DFT, GGA-PBE
State: relaxed

Unit cell a=3.4685 b=10.9735 c=6.6678 alpha=90.00 beta=90.00 gamma=90.00
Closest atoms and distances in Å follow each position.
Space group Cmcm (No. 63)
One atom of each set of equivalent atoms:
Np (0.0000, 0.0398, 0.2500) (multiplicity 4)  4 N 2.44
Co (0.0000, 0.3315, 0.0532) (multiplicity 8)  1 N 1.88
Si (0.0000, 0.2315, 0.7500) (multiplicity 4)  6 Co 2.28-2.30
N (0.0000, 0.5000, 0.0000) (multiplicity 4)  2 Co 1.88

Computed properties:
* uncorrected formation energy: -657 meV per atom
* DOS(E_F): 33.840 states/eV/cell